# BaNd2CoO5 (PBE+U, optimized geometry)
# VASP energy = -7.267 eV per atom
data_BaNd2CoO5
_chemical_formula_sum 'Ba2 Nd4 Co2 O10'
_cell_length_a 6.798
_cell_length_b 6.798
_cell_length_c 7.590
_cell_angle_alpha 116.60
_cell_angle_beta 116.60
_cell_angle_gamma 90.00
_symmetry_space_group_name_H-M 'P 1'
_symmetry_Int_Tables_number 1
_symmetry_space_group_name_Hall 'P 1'
loop_
_atom_site_label
_atom_site_fract_x
_atom_site_fract_y
_atom_site_fract_z
_atom_site_occupancy
Nd1 0.825 0.675 0.000 1
Nd2 0.175 0.325 0.000 1
Nd3 0.325 0.825 0.000 1
Nd4 0.675 0.175 0.000 1
O1 0.727 0.227 0.739 1
O2 0.012 0.512 0.739 1
O3 0.500 0.500 0.000 1
O4 0.512 0.727 0.739 1
O5 0.988 0.488 0.261 1
O6 0.227 0.012 0.739 1
O7 0.773 0.988 0.261 1
O8 0.000 0.000 0.000 1
O9 0.488 0.273 0.261 1
O10 0.273 0.773 0.261 1
Ba1 0.750 0.750 0.500 1
Ba2 0.250 0.250 0.500 1
Co1 0.250 0.750 0.500 1
Co2 0.750 0.250 0.500 1

# BaNd2CoO5 (PBE+U, optimized geometry)
# VASP energy = -7.266 eV per atom
data_BaNd2CoO5
_chemical_formula_sum 'Ba1 Nd2 Co1 O5'
_cell_length_a 3.845
_cell_length_b 6.011
_cell_length_c 6.950
_cell_angle_alpha 115.62
_cell_angle_beta 106.06
_cell_angle_gamma 90.00
_symmetry_space_group_name_H-M 'P 1'
_symmetry_Int_Tables_number 1
_symmetry_space_group_name_Hall 'P 1'
loop_
_atom_site_label
_atom_site_fract_x
_atom_site_fract_y
_atom_site_fract_z
_atom_site_occupancy
Ba1 0.000 0.000 0.000 1
O1 0.646 0.404 0.293 1
O2 0.000 0.500 0.000 1
O3 0.354 0.111 0.707 1
O4 0.646 0.889 0.293 1
O5 0.354 0.596 0.707 1
Nd1 0.797 0.297 0.594 1
Nd2 0.203 0.703 0.406 1
Co1 0.500 0.500 0.000 1

# BaNdCoO4 (PBE+U, optimized geometry)
# VASP energy = -6.796 eV per atom
data_BaNdCoO4
_chemical_formula_sum 'Ba2 Nd2 Co2 O8'
_cell_length_a 5.872
_cell_length_b 5.864
_cell_length_c 7.269
_cell_angle_alpha 90.00
_cell_angle_beta 108.04
_cell_angle_gamma 90.00
_symmetry_space_group_name_H-M 'P 1'
_symmetry_Int_Tables_number 1
_symmetry_space_group_name_Hall 'P 1'
loop_
_atom_site_label
_atom_site_fract_x
_atom_site_fract_y
_atom_site_fract_z
_atom_site_occupancy
O1 0.453 0.750 0.576 1
O2 0.975 0.015 0.709 1
O3 0.025 0.985 0.291 1
O4 0.975 0.485 0.709 1
O5 0.446 0.750 0.162 1
O6 0.547 0.250 0.424 1
O7 0.025 0.515 0.291 1
O8 0.554 0.250 0.838 1
Ba1 0.728 0.750 0.936 1
Ba2 0.272 0.250 0.064 1
Nd1 0.192 0.250 0.541 1
Nd2 0.808 0.750 0.459 1
Co1 0.732 0.250 0.672 1
Co2 0.268 0.750 0.328 1

# BaNdCo2O6 (PBE+U, optimized geometry)
# VASP energy = -6.496 eV per atom
data_BaNdCo2O6
_chemical_formula_sum 'Ba1 Nd1 Co2 O6'
_cell_length_a 3.857
_cell_length_b 3.857
_cell_length_c 7.942
_cell_angle_alpha 90.00
_cell_angle_beta 90.00
_cell_angle_gamma 90.00
_symmetry_space_group_name_H-M 'P 1'
_symmetry_Int_Tables_number 1
_symmetry_space_group_name_Hall 'P 1'
loop_
_atom_site_label
_atom_site_fract_x
_atom_site_fract_y
_atom_site_fract_z
_atom_site_occupancy
O1 0.500 0.500 0.000 1
O2 0.500 0.500 0.500 1
O3 0.500 0.000 0.222 1
O4 0.000 0.500 0.222 1
O5 0.500 0.000 0.778 1
O6 0.000 0.500 0.778 1
Ba1 0.000 0.000 0.500 1
Co1 0.500 0.500 0.752 1
Co2 0.500 0.500 0.248 1
Nd1 0.000 0.000 0.000 1

# Ba2Nd2Co4O11 (PBE+U, optimized geometry)
# Distance to the lowest polymorph of the same formula = 0 meV/atom
data_Ba2Nd2Co4O11
_chemical_formula_sum 'Ba2 Nd2 Co4 O11'
_cell_length_a 8.655
_cell_length_b 8.655
_cell_length_c 8.655
_cell_angle_alpha 142.01
_cell_angle_beta 142.01
_cell_angle_gamma 54.81
_symmetry_space_group_name_H-M 'P 1'
_symmetry_Int_Tables_number 1
_symmetry_space_group_name_Hall 'P 1'
loop_
_atom_site_label
_atom_site_fract_x
_atom_site_fract_y
_atom_site_fract_z
_atom_site_occupancy
Nd1 0.000 0.500 0.500 1
Nd2 0.500 0.000 0.500 1
Co1 0.622 0.622 0.000 1
Co2 0.121 0.121 0.000 1
Co3 0.879 0.879 0.000 1
Co4 0.378 0.378 0.000 1
O1 0.840 0.840 0.472 1
O2 0.633 0.160 0.000 1
O3 0.633 0.633 0.472 1
O4 0.160 0.633 0.000 1
O5 0.000 0.000 0.000 1
O6 0.160 0.160 0.528 1
O7 0.238 0.238 0.000 1
O8 0.367 0.367 0.528 1
O9 0.840 0.367 0.000 1
O10 0.367 0.840 0.000 1
O11 0.762 0.762 0.000 1
Ba1 0.250 0.750 0.500 1
Ba2 0.750 0.250 0.500 1

# BaNd3Co4O12 (PBE+U, optimized geometry)
# VASP energy = -6.814 eV per atom
data_BaNd3Co4O12
_chemical_formula_sum 'Ba1 Nd3 Co4 O12'
_cell_length_a 7.885
_cell_length_b 5.459
_cell_length_c 5.548
_cell_angle_alpha 88.95
_cell_angle_beta 90.00
_cell_angle_gamma 90.00
_symmetry_space_group_name_H-M 'P 1'
_symmetry_Int_Tables_number 1
_symmetry_space_group_name_Hall 'P 1'
loop_
_atom_site_label
_atom_site_fract_x
_atom_site_fract_y
_atom_site_fract_z
_atom_site_occupancy
O1 0.500 0.574 0.006 1
O2 0.000 0.080 0.530 1
O3 0.205 0.728 0.712 1
O4 0.740 0.261 0.275 1
O5 0.795 0.728 0.712 1
O6 0.204 0.766 0.210 1
O7 0.796 0.766 0.210 1
O8 0.500 0.969 0.472 1
O9 0.260 0.261 0.275 1
O10 0.283 0.212 0.806 1
O11 0.000 0.431 0.003 1
O12 0.717 0.212 0.806 1
Nd1 0.500 0.006 0.041 1
Nd2 0.000 0.511 0.454 1
Nd3 0.000 0.996 0.964 1
Co1 0.247 0.005 0.505 1
Co2 0.247 0.497 0.998 1
Co3 0.753 0.497 0.998 1
Co4 0.753 0.005 0.505 1
Ba1 0.500 0.497 0.519 1

| no. | magnetic moment (μB/f.u.) |
| --- | --- |
| 1 | 3.0 |
| 2 | 3.0 |
| 3 | 4.0 |
| 4 | 3.2 |
| 5 | 12.0 |
| 6 | 11.0 |